## NaP2RuS8 (GGA-PBE)

Data for a relaxed structure of NaP2RuS8.

Computed properties:
The symmetry is P-3 (147). The value obtained for the energy relative to the elements, uncorrected is -2.58 eV per formula unit. Its magnetization is 0.00 μB per formula unit.

Geometry as POSCAR:
```
NaP2RuS8
1.0
-2.916 4.834 1.483
-2.908 -4.706 -1.862
-0.629 -3.026 8.628
Na P Ru S
1 2 1 8
Cartesian
0.000 0.000 0.000
-3.095 0.778 2.867
-3.357 -3.676 5.382
-0.314 -1.513 4.314
-3.494 -4.335 7.261
-2.181 -1.106 2.924
-5.003 -2.542 2.215
-2.958 1.437 0.988
-1.449 -0.356 6.034
-4.271 -1.791 5.325
-4.233 1.269 6.401
-2.219 -4.167 1.848
```


## NaSrPRu (GGA-PBE)

Data for a relaxed structure of NaSrPRu.

Computed properties:
The symmetry is P4/nmm (129). Its magnetization is 0.00 μB per formula unit. As for the formation energy: -0.557 eV/atom.

Geometry as POSCAR:
```
NaSrPRu
1.0
-0.887 0.757 -3.940
-2.633 -3.155 -0.013
-9.102 7.580 3.506
Na Sr P Ru
2 2 2 2
Cartesian
-6.747 1.613 0.758
-5.875 3.569 -1.205
-4.565 -0.195 -2.224
-8.057 5.378 1.776
-10.881 5.065 0.209
-1.742 0.118 -0.657
-1.324 -0.221 -2.959
-2.196 -2.177 -0.995
```


## NaZnPRu (GGA-PBE)

Data for a relaxed structure of NaZnPRu.

Computed properties:
The symmetry is P4/nmm (129). Its magnetization is 0.00 μB per formula unit. As for the formation energy: -0.316 eV/atom.

Geometry as POSCAR:
```
NaZnPRu
1.0
-2.951 0.937 -2.471
-1.634 -3.557 0.603
-5.488 3.880 8.025
Na Zn P Ru
2 2 2 2
Cartesian
-4.777 -1.019 0.556
-5.296 2.279 5.601
-4.707 -0.494 3.847
-5.365 1.753 2.310
-8.295 1.468 5.701
-1.778 -0.209 0.456
-2.622 -0.187 -1.702
-1.963 -2.434 -0.166
```


## NaPS3 (GGA-PBE)

Data for a relaxed structure of NaPS3.

Computed properties:
The symmetry is P2_1/c (14). The value obtained for the energy relative to the elements, uncorrected is -2.76 eV per formula unit. Its magnetization is 0.00 μB per formula unit. The relative energy among the computed polymorphs is 24 meV/atom.

Geometry as POSCAR:
```
NaPS3
1.0
7.254 0.000 -0.232
0.000 7.110 0.000
1.980 0.000 10.192
Na P S
4 4 12
Cartesian
0.558 4.311 2.490
4.060 0.756 2.490
8.677 2.799 7.471
5.175 6.354 7.470
4.053 4.185 1.182
7.819 0.630 3.567
5.181 2.925 8.778
1.416 6.480 6.394
2.785 5.040 6.419
3.812 1.485 8.753
6.449 2.070 3.541
5.422 5.625 1.207
7.915 7.067 7.900
5.937 3.512 7.041
1.319 0.043 2.061
3.298 3.598 2.919
7.089 6.057 4.727
4.782 2.502 0.022
2.145 1.053 5.234
4.452 4.608 9.938
```


## NaPS (GGA-PBE)

Data for a relaxed structure of NaPS.

Computed properties:
The symmetry is C2/m (12). The value obtained for the energy relative to the elements, uncorrected is -1.77 eV per formula unit. Its magnetization is 0.00 μB per formula unit.

Geometry as POSCAR:
```
NaPS
1.0
-2.309 -2.686 -1.915
3.207 -1.996 -1.393
-0.795 -0.664 9.282
P Na S
2 2 2
Cartesian
0.334 -4.292 2.140
-0.231 -1.054 3.833
-0.102 -3.443 5.624
0.205 -1.903 0.349
-0.557 -0.914 7.101
0.661 -4.432 -1.128
```


## NaPS4 (GGA-PBE)

Data for a relaxed structure of NaPS4.

Computed properties:
The symmetry is Ama2 (40). The value obtained for the energy relative to the elements, uncorrected is -1.99 eV per formula unit. Its magnetization is 0.00 μB per formula unit. The relative energy among the computed polymorphs is 0 meV/atom.

Geometry as POSCAR:
```
NaPS4
1.0
-2.566 -6.109 -1.427
4.142 -5.337 -0.543
-0.846 -1.436 7.667
Na P S
2 2 8
Cartesian
3.552 -6.074 3.269
3.975 -5.357 -0.565
0.609 -6.821 0.797
-0.015 -6.077 4.882
-1.997 -5.935 4.690
1.891 -7.304 -0.759
1.552 -7.878 2.311
1.023 -4.791 3.630
0.685 -5.366 6.700
0.729 -8.093 4.586
-1.273 -7.407 0.480
0.783 -4.699 1.214
```


## Na3PS6 (GGA-PBE)

Data for a relaxed structure of Na3PS6.

Computed properties:
The symmetry is P2_1/c (14). The value obtained for the energy relative to the elements, uncorrected is -4.34 eV per formula unit. Its magnetization is 0.00 μB per formula unit.

Geometry as POSCAR:
```
Na3PS6
1.0
7.161 0.000 -0.805
0.000 7.406 0.000
-0.872 0.000 8.220
Na P S
6 2 12
Cartesian
2.786 6.787 5.654
3.581 3.703 -0.403
3.503 0.619 1.761
6.803 4.322 1.141
-0.436 0.000 4.110
-0.513 3.084 6.274
3.145 3.703 3.708
0.000 0.000 0.000
4.329 1.373 6.721
4.275 1.757 4.650
4.408 3.200 2.074
1.881 4.206 5.341
2.015 5.649 2.765
1.961 6.033 0.694
1.184 2.330 3.013
1.130 1.946 0.943
0.391 0.503 6.586
5.898 6.903 0.829
5.159 5.460 6.472
5.105 5.076 4.402
```


## Na8P2S (GGA-PBE)

Data for a relaxed structure of Na8P2S.

Computed properties:
The symmetry is C2/m (12). The value obtained for the energy relative to the elements, uncorrected is -5.56 eV per formula unit. Its magnetization is 0.00 μB per formula unit.

Geometry as POSCAR:
```
Na8P2S
1.0
-3.459 -1.045 3.176
-4.263 -1.327 -5.080
6.089 -6.343 0.902
Na P S
8 2 1
Cartesian
1.074 -6.246 -0.885
-4.320 -4.067 -2.400
-2.189 -5.357 -0.503
1.508 -7.436 2.840
0.556 -3.358 -0.499
2.687 -4.648 1.398
-2.707 -2.469 -0.118
-3.141 -1.279 -3.842
-0.222 -5.522 1.585
-1.411 -3.193 -2.587
-1.730 -0.522 1.588
```


## NaPS3 (GGA-PBE)

Data for a relaxed structure of NaPS3.

Computed properties:
The symmetry is P2_1/m (11). The value obtained for the energy relative to the elements, uncorrected is -2.88 eV per formula unit. Its magnetization is 0.00 μB per formula unit. The relative energy among the computed polymorphs is 0 meV/atom.

Geometry as POSCAR:
```
NaPS3
1.0
8.082 0.000 0.000
0.000 6.859 0.073
0.000 0.132 9.170
Na P S
4 4 12
Cartesian
4.173 4.772 6.485
0.132 2.219 2.758
3.909 2.219 2.758
7.950 4.772 6.485
6.061 1.492 5.820
2.020 5.499 3.423
6.061 2.411 8.601
2.020 4.580 0.641
0.458 5.290 1.977
4.499 1.701 7.266
7.624 1.701 7.266
3.583 5.290 1.977
6.061 4.399 8.698
2.020 2.592 0.544
6.061 3.077 4.578
2.020 3.914 4.664
6.061 1.219 1.098
2.020 5.772 8.144
6.061 6.568 5.015
2.020 0.423 4.228
```


## NaPS3 (GGA-PBE)

Data for a relaxed structure of NaPS3.

Computed properties:
The symmetry is Pnma (62). The value obtained for the energy relative to the elements, uncorrected is -2.40 eV per formula unit. Its magnetization is 0.00 μB per formula unit. The relative energy among the computed polymorphs is 95 meV/atom.

Geometry as POSCAR:
```
NaPS3
1.0
5.760 0.000 0.000
0.000 6.589 0.000
0.000 0.000 12.793
Na P S
4 4 12
Cartesian
0.000 3.295 0.000
2.880 0.000 6.397
2.880 0.000 0.000
0.000 3.295 6.397
1.869 2.677 9.595
1.010 5.971 3.198
3.890 3.912 3.198
4.749 0.618 9.595
0.478 0.210 1.465
2.402 3.505 7.862
2.402 3.505 11.328
5.281 6.379 7.862
5.281 6.379 11.328
3.358 3.085 4.932
3.358 3.085 1.465
0.478 0.210 4.932
2.533 0.627 9.595
0.347 3.922 3.198
3.226 5.962 3.198
5.413 2.667 9.595
```


## Na3PS4 (GGA-PBE)

Data for a relaxed structure of Na3PS4.

Computed properties:
The symmetry is P-42_1c (114). The value obtained for the energy relative to the elements, uncorrected is -7.04 eV per formula unit. Its magnetization is 0.00 μB per formula unit.

Geometry as POSCAR:
```
Na3PS4
1.0
-2.607 2.775 5.880
-2.878 -6.173 1.638
5.943 -1.841 3.504
Na P S
6 2 8
Cartesian
1.061 -3.861 2.292
2.140 0.321 4.970
-0.832 1.241 3.218
4.032 -4.781 4.044
0.000 0.000 0.000
0.229 -2.619 5.511
2.971 -0.920 1.752
-2.742 -1.699 3.759
-0.830 -1.593 2.981
2.067 -4.821 6.100
2.364 -1.649 7.264
-0.564 0.700 6.189
-0.947 -5.329 3.671
-2.686 -2.415 5.698
3.017 -1.970 3.532
-0.591 -3.878 8.650
```


## NaP3S (GGA-PBE)

Data for a relaxed structure of NaP3S.

Computed properties:
The symmetry is Pm-3m (221). The value obtained for the energy relative to the elements, uncorrected is 9.05 eV per formula unit. Its magnetization is 0.00 μB per formula unit. The relative energy among the computed polymorphs is 1123 meV/atom.

Geometry as POSCAR:
```
NaP3S
1.0
4.824 0.000 0.000
0.000 4.824 0.000
0.000 0.000 4.824
P S Na
3 1 1
Cartesian
0.000 2.412 0.000
0.000 0.000 2.412
2.412 0.000 0.000
2.412 2.412 2.412
0.000 0.000 0.000
```